First-principles (PBE with a Hubbard U) data for an optimized crystal structure of Ba2CrBF, as listed in Alexandria via LeMat-Bulk.

Results
**Total energy**: -18.80 eV for the cell shown
**D(E_F)**: 0.77 states/eV/atom
**Theoretical density**: 3.86 g cm⁻³
**Crystal system**: tetragonal
**Space group**: No. 123

abc: 6.2429 3.9363 6.2429
angles: 90.00 90.00 90.00
With the nearest neighbours (Å) after each atom.
Fractional coordinates of all 5 atoms:
F (0.0000, 0.5000, 0.0000)  2 Cr 1.97
Ba (0.5000, 0.0000, 0.0000)  2 Cr 3.12
Ba (0.0000, 0.0000, 0.5000)  2 Cr 3.12
B (0.5000, 0.5000, 0.5000)  8 Ba 3.69, 2 B 3.94
Cr (0.0000, 0.0000, 0.0000)  2 F 1.97